Record 1
YRhBr2 | PBE | optimized geometry

The structure in CIF format:
```
data_YRhBr2
_chemical_formula_sum 'Y1 Rh1 Br2'
_cell_length_a 3.805
_cell_length_b 3.805
_cell_length_c 7.222
_cell_angle_alpha 90.00
_cell_angle_beta 90.00
_cell_angle_gamma 90.00
_space_group_name_H-M_alt 'P 4 m m'
_space_group_IT_number 99
loop_
_space_group_symop_operation_xyz
'x,y,z'
'-y,x,z'
'-x,-y,z'
'y,-x,z'
'-x,y,z'
'y,x,z'
'x,-y,z'
'-y,-x,z'
loop_
_atom_site_label
_atom_site_type_symbol
_atom_site_fract_x
_atom_site_fract_y
_atom_site_fract_z
_atom_site_occupancy
Y1 Y 0.000 0.000 0.000 1
Rh1 Rh 0.500 0.500 0.860 1
Br1 Br 0.000 0.000 0.620 1
Br2 Br 0.500 0.500 0.208 1
```

The uncorrected formation energy is -868.7 meV/atom. The relative energy among the computed polymorphs comes out at 156.3 meV/atom. The spin magnetization comes out at 0.00 μB per cell. As for the energy: -5.1591 eV per atom.

---

Record 2
Co2P2N | PBE | optimized geometry

The structure in CIF format:
```
data_Co2P2N
_chemical_formula_sum 'Co2 P2 N1'
_cell_length_a 3.627
_cell_length_b 3.698
_cell_length_c 4.922
_cell_angle_alpha 111.92
_cell_angle_beta 90.98
_cell_angle_gamma 99.43
_space_group_name_H-M_alt 'P 1'
_space_group_IT_number 1
loop_
_space_group_symop_operation_xyz
'x,y,z'
loop_
_atom_site_label
_atom_site_type_symbol
_atom_site_fract_x
_atom_site_fract_y
_atom_site_fract_z
_atom_site_occupancy
Co1 Co 0.000 0.000 0.000 1
Co2 Co 0.198 0.259 0.600 1
P1 P 0.504 0.898 0.221 1
P2 P 0.551 0.820 0.636 1
N1 N 0.164 0.508 0.000 1
```

The uncorrected formation energy is -25.7 meV/atom. The relative energy among the computed polymorphs comes out at 237.8 meV/atom. The spin magnetization comes out at 0.00 μB per cell. For the density of states at the Fermi level, the calculation gives 1.59 states/eV/cell. As for the energy: -6.6970 eV per atom.

---

Record 3
BaAl2Br | PBE | optimized geometry

The structure in CIF format:
```
data_BaAl2Br
_chemical_formula_sum 'Ba2 Al4 Br2'
_cell_length_a 4.100
_cell_length_b 5.978
_cell_length_c 9.646
_cell_angle_alpha 90.00
_cell_angle_beta 90.00
_cell_angle_gamma 90.00
_space_group_name_H-M_alt 'C m m m'
_space_group_IT_number 65
_space_group_name_Hall '-C 2 2'
loop_
_atom_site_label
_atom_site_type_symbol
_atom_site_fract_x
_atom_site_fract_y
_atom_site_fract_z
_atom_site_occupancy
Ba1 Ba 0.000 0.000 0.000 1
Al1 Al 0.000 0.500 0.280 1
Br1 Br 0.000 0.000 0.500 1
```

The uncorrected formation energy is 173.3 meV/atom. The relative energy among the computed polymorphs comes out at 705.9 meV/atom. The spin magnetization comes out at 0.00 μB per cell. For the density of states at the Fermi level, the calculation gives 5.31 states/eV/cell. As for the energy: -2.5969 eV per atom.

---

Record 4
Rb2NdCd2O4 | PBE | optimized geometry

The structure in CIF format:
```
data_Rb2NdCd2O4
_chemical_formula_sum 'Rb4 Nd2 Cd4 O8'
_cell_length_a 13.350
_cell_length_b 3.678
_cell_length_c 10.214
_cell_angle_alpha 90.00
_cell_angle_beta 130.52
_cell_angle_gamma 90.00
_space_group_name_H-M_alt 'C 1 2/m 1'
_space_group_IT_number 12
loop_
_space_group_symop_operation_xyz
'x,y,z'
'-x,-y,-z'
'-x,y,-z'
'x,-y,z'
'x+1/2,y+1/2,z'
'-x+1/2,-y+1/2,-z'
'-x+1/2,y+1/2,-z'
'x+1/2,-y+1/2,z'
loop_
_atom_site_label
_atom_site_type_symbol
_atom_site_fract_x
_atom_site_fract_y
_atom_site_fract_z
_atom_site_occupancy
Rb1 Rb 0.136 0.000 0.271 1
Nd1 Nd 0.000 0.500 0.500 1
Cd1 Cd 0.176 0.000 0.857 1
O1 O 0.046 0.500 0.773 1
O2 O 0.154 0.000 0.617 1
```

The uncorrected formation energy is -1583.2 meV/atom. The spin magnetization comes out at 0.00 μB per cell. For the density of states at the Fermi level, the calculation gives 4.49 states/eV/cell. As for the energy: -4.7349 eV per atom.

---

Q: Which value of energy does entry 2 give?
A: -6.6970 eV per atom